Record 1
Here is a relaxed structure of NdScSi from OQMD. Energies are from PBE-GGA.

Results
The energy above the lowest structure with this stoichiometry comes out at 189 meV/atom. The value obtained for the size of the total moment is 0.00 μB per atom. For the raw total energy, the calculation gives -17.818 eV for the cell shown. The volume is 78.12 Å³/cell. The symmetry is F-43m, No. 216.

```
NdScSi
1.0
0.0000 3.3930 3.3930
3.3930 0.0000 3.3930
3.3930 3.3930 0.0000
Nd Si Sc
1 1 1
direct
0.2500 0.2500 0.2500
0.0000 0.0000 0.0000
0.7500 0.7500 0.7500
```

Record 2
Here is a relaxed structure of NdScSi from OQMD. Energies are from PBE-GGA.

Results
The energy above the lowest structure with this stoichiometry comes out at 1089 meV/atom. The value obtained for the size of the total moment is 0.19 μB per atom. For the raw total energy, the calculation gives -15.121 eV for the cell shown. The volume is 82.08 Å³/cell. The symmetry is F-43m, No. 216.

```
NdScSi
1.0
1.5099 1.8435 4.2565
-2.2733 -1.2337 4.1360
2.2341 -2.8739 3.2475
Sc Si Nd
1 1 1
direct
0.2500 0.2500 0.2500
0.7500 0.7500 0.7500
0.0000 0.0000 0.0000
```

Record 3
Here is a relaxed structure of NdSm2ScTl2 from OQMD. Energies are from PBE-GGA.

Results
The value obtained for the size of the total moment is 0.28 μB per atom. For the raw total energy, the calculation gives -26.786 eV for the cell shown. The volume is 170.85 Å³/cell. The symmetry is P-6m2, No. 187.

```
NdSm2ScTl2
1.0
5.3823 0.0000 0.0000
-2.6911 4.6612 0.0000
0.0000 0.0000 6.8099
Nd Tl Sm Sc
1 2 2 1
direct
0.6667 0.3333 0.0000
0.0000 0.0000 0.0000
0.6667 0.3333 0.5000
0.3333 0.6667 0.2679
0.3333 0.6667 0.7321
0.0000 0.0000 0.5000
```

Record 4
Here is a relaxed structure of NdScZn2Sn2 from OQMD. Energies are from PBE-GGA.

Results
The energy above the lowest structure with this stoichiometry comes out at 32 meV/atom. The value obtained for the size of the total moment is 0.00 μB per atom. For the raw total energy, the calculation gives -49.617 eV for the cell shown. The volume is 272.53 Å³/cell. The symmetry is P6_3/mmc, No. 194.

```
NdScZn2Sn2
1.0
-4.0760 1.9672 -0.1683
1.1913 -2.4346 3.6284
5.8108 12.5997 6.5463
Zn Sc Sn Nd
4 2 4 2
direct
0.6667 0.3333 0.3501
0.3333 0.6667 0.6499
0.3333 0.6667 0.8501
0.6667 0.3333 0.1499
0.0000 0.0000 0.5000
0.0000 0.0000 0.0000
0.3333 0.6667 0.3965
0.6667 0.3333 0.8965
0.3333 0.6667 0.1035
0.6667 0.3333 0.6035
0.0000 0.0000 0.7500
0.0000 0.0000 0.2500
```

Record 5
Here is a relaxed structure of NdScZn2Sn2 from OQMD. Energies are from PBE-GGA.

Results
The energy above the lowest structure with this stoichiometry comes out at 0 meV/atom. The value obtained for the size of the total moment is 0.00 μB per atom. For the raw total energy, the calculation gives -49.996 eV for the cell shown. The volume is 274.03 Å³/cell. The symmetry is P6_3/mmc, No. 194.

```
NdScZn2Sn2
1.0
-0.0419 -4.1281 -1.7165
3.8792 1.9063 1.1436
-1.3248 -6.0445 14.5696
Zn Sn Nd Sc
4 4 2 2
direct
0.3333 0.6667 0.6664
0.3333 0.6667 0.8336
0.6667 0.3333 0.3336
0.6667 0.3333 0.1664
0.6667 0.3333 0.8784
0.3333 0.6667 0.1216
0.6667 0.3333 0.6216
0.3333 0.6667 0.3784
0.0000 0.0000 0.5000
0.0000 0.0000 0.0000
0.0000 0.0000 0.2500
0.0000 0.0000 0.7500
```

Record 6
Here is a relaxed structure of NdScTa from OQMD. Energies are from PBE-GGA.

Results
The energy above the lowest structure with this stoichiometry comes out at 200 meV/atom. The value obtained for the size of the total moment is 0.28 μB per atom. For the raw total energy, the calculation gives -18.807 eV for the cell shown. The volume is 80.99 Å³/cell. The symmetry is F-43m, No. 216.

```
NdScTa
1.0
-0.7070 -0.8365 4.7313
0.4844 3.6170 3.2043
-3.9168 1.8116 2.2274
Nd Ta Sc
1 1 1
direct
0.0000 0.0000 0.0000
0.7500 0.7500 0.7500
0.2500 0.2500 0.2500
```

Record 7
Here is a relaxed structure of NdScTa from OQMD. Energies are from PBE-GGA.

Results
The energy above the lowest structure with this stoichiometry comes out at 0 meV/atom. The value obtained for the size of the total moment is 0.60 μB per atom. For the raw total energy, the calculation gives -19.407 eV for the cell shown. The volume is 82.97 Å³/cell. The symmetry is F-43m, No. 216.

```
NdScTa
1.0
0.0000 3.4617 3.4617
3.4617 0.0000 3.4617
3.4617 3.4617 0.0000
Ta Sc Nd
1 1 1
direct
0.7500 0.7500 0.7500
0.0000 0.0000 0.0000
0.2500 0.2500 0.2500
```

Record 8
Here is a relaxed structure of TbNdSc from OQMD. Energies are from PBE-GGA.

Results
The value obtained for the size of the total moment is 0.02 μB per atom. For the raw total energy, the calculation gives -13.713 eV for the cell shown. The volume is 105.29 Å³/cell. The symmetry is F-43m, No. 216.

```
TbNdSc
1.0
0.0000 3.7478 3.7478
3.7478 0.0000 3.7478
3.7478 3.7478 0.0000
Tb Sc Nd
1 1 1
direct
0.7500 0.7500 0.7500
0.0000 0.0000 0.0000
0.2500 0.2500 0.2500
```

Record 9
Here is a relaxed structure of NdThSc from OQMD. Energies are from PBE-GGA.

Results
The energy above the lowest structure with this stoichiometry comes out at 0 meV/atom. The value obtained for the size of the total moment is 0.00 μB per atom. For the raw total energy, the calculation gives -16.403 eV for the cell shown. The volume is 105.14 Å³/cell. The symmetry is F-43m, No. 216.

```
NdThSc
1.0
0.0037 -4.9390 1.9163
-3.3052 -3.6220 -2.0058
1.8978 -3.9795 -2.9373
Sc Nd Th
1 1 1
direct
0.0000 0.0000 0.0000
0.2500 0.2500 0.2500
0.7500 0.7500 0.7500
```

Record 10
Here is a relaxed structure of NdScTl from OQMD. Energies are from PBE-GGA.

Results
The energy above the lowest structure with this stoichiometry comes out at 0 meV/atom. The value obtained for the size of the total moment is 0.01 μB per atom. For the raw total energy, the calculation gives -28.658 eV for the cell shown. The volume is 171.47 Å³/cell. The symmetry is C2/m, No. 12.

```
NdScTl
1.0
-2.5139 3.8028 0.1363
-3.7894 -2.5170 0.3239
3.7623 -0.5222 7.9901
Sc Nd Tl
2 2 2
direct
0.0000 0.5000 0.5000
0.5000 0.0000 0.5000
0.6706 0.6706 0.8427
0.3294 0.3294 0.1573
0.8726 0.8726 0.2438
0.1274 0.1274 0.7562
```

Record 11
Here is a relaxed structure of NdScTl from OQMD. Energies are from PBE-GGA.

Results
The energy above the lowest structure with this stoichiometry comes out at 33 meV/atom. The value obtained for the size of the total moment is 0.00 μB per atom. For the raw total energy, the calculation gives -28.458 eV for the cell shown. The volume is 159.96 Å³/cell. The symmetry is P6_3/mmc, No. 194.

```
NdScTl
1.0
-4.0031 -1.5779 -3.0254
3.5096 -3.5025 1.7556
-3.7243 -1.0004 5.4496
Tl Sc Nd
2 2 2
direct
0.6667 0.3333 0.2500
0.3333 0.6667 0.7500
0.3333 0.6667 0.2500
0.6667 0.3333 0.7500
0.0000 0.0000 0.0000
0.0000 0.0000 0.5000
```

Record 12
Here is a relaxed structure of NdScTl from OQMD. Energies are from PBE-GGA.

Results
The energy above the lowest structure with this stoichiometry comes out at 289 meV/atom. The value obtained for the size of the total moment is 0.23 μB per atom. For the raw total energy, the calculation gives -13.463 eV for the cell shown. The volume is 93.98 Å³/cell. The symmetry is F-43m, No. 216.

```
NdScTl
1.0
1.9771 -0.3995 4.6878
-0.4468 3.8704 3.2961
-3.0851 -0.4338 4.0420
Nd Tl Sc
1 1 1
direct
0.2500 0.2500 0.2500
0.0000 0.0000 0.0000
0.7500 0.7500 0.7500
```